Material: Tb3Ho3In
Method: DFT, PBE
State: optimized geometry

Unit cell a=13.2480 b=5.1835 c=12.6882 alpha=90.00 beta=90.00 gamma=90.00
Space group Pnma (No. 62)
One atom of each set of equivalent atoms:
Tb  0.0870  0.2500  0.1905 (multiplicity 4)
Tb  0.1745  0.7500  0.7667 (multiplicity 4)
Tb  0.1871  0.7500  0.3699 (multiplicity 4)
Ho  0.0188  0.2500  0.4331 (multiplicity 4)
Ho  0.0535  0.2500  0.9291 (multiplicity 4)
Ho  0.2243  0.7500  0.0565 (multiplicity 4)
In  0.0537  0.2500  0.6837 (multiplicity 4)

Calculated values
Mass density (kg/m3): 8282
Energy (eV per atom): -4.349
Formation energy from the elements (kcal/mol of atoms): -0.263